A plane-wave DFT calculation with PBE-GGA was carried out for a geometry-optimized K4U3CuO12 structure.

a = 7.4004 Å, b = 7.4004 Å, c = 7.4004 Å
α = 109.47°, β = 109.47°, γ = 109.47°
Last column: nearest neighbours and their distance in Å.
Fractional coordinates of all 20 atoms:
O (0.7323, 0.0000, 0.7323)  1 U 1.99
O (0.7500, 0.2500, 0.5000)  2 U 2.14
O (0.7500, 0.5000, 0.2500)  2 U 2.14
U (0.5000, 0.0000, 0.5000)  6 O 1.99-2.14
Cu (0.0000, 0.0000, 0.0000)  6 O 2.29
K (0.0000, 0.0000, 0.5000)  12 O 3.02
O (0.0000, 0.7323, 0.7323)  1 U 1.99
O (0.0000, 0.2677, 0.2677)  1 U 1.99
O (0.7323, 0.7323, 0.0000)  1 U 1.99
O (0.5000, 0.7500, 0.2500)  2 U 2.14
K (0.0000, 0.5000, 0.0000)  12 O 3.02
O (0.2677, 0.2677, 0.0000)  1 U 1.99
U (0.0000, 0.5000, 0.5000)  6 O 1.99-2.14
O (0.2500, 0.5000, 0.7500)  2 U 2.14
O (0.2677, 0.0000, 0.2677)  1 U 1.99
O (0.2500, 0.7500, 0.5000)  2 U 2.14
K (0.5000, 0.5000, 0.5000)  12 O 3.02
O (0.5000, 0.2500, 0.7500)  2 U 2.14
U (0.5000, 0.5000, 0.0000)  6 O 1.99-2.14
K (0.5000, 0.0000, 0.0000)  12 O 3.02

**Uncorrected energy**: -7.61 eV/atom
**Uncorrected formation energy**: -2.52 eV/atom
**Total magnetic moment**: 1.04 Bohr magnetons per cell
**Crystal system**: cubic
**DOS at the Fermi energy**: 0.27 states/eV/atom



A plane-wave DFT calculation with PBE-GGA was carried out for a geometry-optimized Li3Bi5P6O24 structure.

a = 8.7102 Å, b = 8.8349 Å, c = 8.8514 Å
α = 108.43°, β = 110.01°, γ = 109.08°
Last column: nearest neighbours and their distance in Å.
Fractional coordinates of all 38 atoms:
Bi (0.8336, 0.4909, 0.9878)  3 O 2.17-2.28
P (0.6276, 0.3800, 0.2544)  4 O 1.54-1.57
O (0.0800, 0.2727, 0.9156)  1 P 1.58
O (0.5695, 0.4061, 0.7562)  1 P 1.55
O (0.9180, 0.6924, 0.8490)  1 P 1.54
O (0.1602, 0.8232, 0.7526)  1 P 1.56
O (0.1565, 0.5902, 0.8561)  1 P 1.55
Bi (0.0043, 0.8414, 0.5141)  3 O 2.17-2.28
Li (0.5127, 0.9658, 0.7802)  2 O 1.95-2.00
O (0.8420, 0.1626, 0.5791)  1 P 1.55
O (0.5865, 0.8494, 0.1723)  1 P 1.58
O (0.4208, 0.3438, 0.1853)  1 P 1.57
O (0.6586, 0.3533, 0.0881)  1 P 1.55
O (0.9245, 0.0621, 0.2645)  1 P 1.55
Bi (0.1438, 0.1609, 0.1618)  4 O 2.19-2.42
O (0.2556, 0.9202, 0.0835)  1 P 1.58
O (0.6725, 0.8550, 0.9276)  1 P 1.51
O (0.3393, 0.0715, 0.6496)  1 P 1.54
O (0.8584, 0.9389, 0.6974)  1 P 1.54
O (0.3377, 0.1888, 0.4251)  1 P 1.59
P (0.2549, 0.6208, 0.3745)  4 O 1.51-1.58
Bi (0.5134, 0.0139, 0.3542)  4 O 2.19-2.42
O (0.4256, 0.7407, 0.5640)  1 P 1.51
P (0.3673, 0.2422, 0.6257)  4 O 1.54-1.59
P (0.7455, 0.8758, 0.1183)  4 O 1.51-1.58
Li (0.9939, 0.2766, 0.4857)  3 O 1.96-1.97
O (0.1590, 0.4154, 0.3261)  1 P 1.56
O (0.2324, 0.3089, 0.6573)  1 P 1.54
Bi (0.3450, 0.5023, 0.9882)  3 O 2.18-2.29
O (0.7407, 0.1584, 0.8139)  1 P 1.54
O (0.7584, 0.5751, 0.4191)  1 P 1.54
O (0.3091, 0.6463, 0.2285)  1 P 1.57
O (0.0935, 0.6719, 0.3461)  1 P 1.58
P (0.8759, 0.1301, 0.7467)  4 O 1.54-1.58
P (0.1190, 0.7542, 0.8830)  4 O 1.54-1.58
O (0.6588, 0.2419, 0.3170)  1 P 1.55
O (0.7913, 0.7223, 0.1378)  1 P 1.58
Li (0.6918, 0.7339, 0.7140)  3 O 1.95-2.14

**Uncorrected energy**: -6.65 eV/atom
**Uncorrected formation energy**: -2.00 eV/atom
**Total magnetic moment**: 0.00 Bohr magnetons per cell
**Crystal system**: triclinic
**DOS at the Fermi energy**: 0.00 states/eV/atom



A plane-wave DFT calculation with PBE-GGA was carried out for a geometry-optimized Ca2NdMg9 structure.

a = 6.1425 Å, b = 6.1425 Å, c = 10.5283 Å
α = 73.04°, β = 73.04°, γ = 60.00°
Last column: nearest neighbours and their distance in Å.
Fractional coordinates of all 12 atoms:
Mg (0.3336, 0.3336, 0.9992)  6 Mg 3.03
Mg (0.6664, 0.6664, 0.0008)  6 Mg 3.03
Ca (0.8580, 0.8580, 0.4261)  12 Mg 3.54-3.68, 3 Ca 3.84
Ca (0.1420, 0.1420, 0.5739)  12 Mg 3.54-3.68, 3 Ca 3.84
Mg (0.5840, 0.5840, 0.7523)  7 Mg 3.03-3.10
Mg (0.9202, 0.4160, 0.2477)  7 Mg 3.03-3.10
Mg (0.5840, 0.0798, 0.7523)  7 Mg 3.03-3.10
Mg (0.4160, 0.9202, 0.2477)  7 Mg 3.03-3.10
Mg (0.0798, 0.5840, 0.7523)  7 Mg 3.03-3.10
Mg (0.5000, 0.5000, 0.5000)  6 Mg 3.07
Mg (0.4160, 0.4160, 0.2477)  7 Mg 3.03-3.10
Nd (0.0000, 0.0000, 0.0000)  18 Mg 3.55-3.93

**Uncorrected energy**: -2.00 eV/atom
**Formation energy**: -81.7 kJ/mol of formula units
**Total magnetic moment**: 0.00 Bohr magnetons per cell
**Crystal system**: trigonal
**DOS at the Fermi energy**: 0.91 states/eV/atom



A plane-wave DFT calculation with PBE-GGA was carried out for a geometry-optimized La2PuPdSe5 structure.

a = 4.0931 Å, b = 9.0005 Å, c = 12.6873 Å
α = 90.00°, β = 90.00°, γ = 103.14°
Last column: nearest neighbours and their distance in Å.
Fractional coordinates of all 18 atoms:
Se (0.4988, 0.9976, 0.7401)  1 Pd 2.51
Se (0.3077, 0.6153, 0.6867)  2 Pu 2.91, 3 La 3.23-3.25
Se (0.9840, 0.9680, 0.5241)  2 Pd 2.52
La (0.1082, 0.2164, 0.3482)  8 Se 3.10-3.44
Se (0.6923, 0.3847, 0.1867)  2 Pu 2.91, 3 La 3.23-3.25
Pd (0.5547, 0.1093, 0.9219)  4 Se 2.51-2.59
La (0.8918, 0.7836, 0.8482)  8 Se 3.10-3.44
Pu (0.8213, 0.6427, 0.5250)  6 Se 2.85-2.94
Se (0.0160, 0.0320, 0.0241)  2 Pd 2.52
La (0.8765, 0.7529, 0.1981)  8 Se 3.04-3.30
Se (0.3433, 0.6865, 0.0191)  1 Pu 2.89, 4 La 3.10-3.11
Pd (0.4453, 0.8907, 0.4219)  4 Se 2.51-2.59
Pu (0.1787, 0.3573, 0.0250)  6 Se 2.85-2.94
Se (0.6956, 0.3912, 0.8608)  1 Pd 2.59
Se (0.3044, 0.6088, 0.3608)  1 Pd 2.59
La (0.1235, 0.2471, 0.6981)  8 Se 3.04-3.30
Se (0.6567, 0.3135, 0.5191)  1 Pu 2.89, 4 La 3.10-3.11
Se (0.5012, 0.0024, 0.2401)  1 Pd 2.51

**Uncorrected energy**: -6.75 eV/atom
**Uncorrected formation energy**: -1.55 eV/atom
**Total magnetic moment**: 9.29 Bohr magnetons per cell
**Crystal system**: orthorhombic
**DOS at the Fermi energy**: 1.30 states/eV/atom